Computed, not measured: a geometry-optimized Tb3CeTl4S8 structure at the PBE level of DFT.

The space group is R-3m (No. 166, hexagonal axes) and the conventional cell measures 8.1828, 8.1828 and 22.5327 Å, with angles of 90.00, 90.00 and 120.00 degrees. The asymmetric unit holds Tb at (0.0000, 0.5000, 0.0000), Ce at (0.0000, 0.0000, 0.0000), Tl at (0.0000, 0.0000, 0.5000), Tl at (0.0000, 0.5000, 0.5000), S at (0.0000, 0.0000, 0.2675) and S at (0.0064, 0.5032, 0.2668).

Its crystal system is trigonal. The calculation puts the formation energy (no corrections) at -1.462 eV/atom. The total energy is -5.36 eV/atom.

Computed, not measured: a geometry-optimized TaAlOs2 structure at the PBE level of DFT.

The space group is Fm-3m (No. 225) and the conventional cell measures 6.222, 6.222 and 6.222 Å, with angles of 90.00, 90.00 and 90.00 degrees. The asymmetric unit holds Ta at (0.000, 0.000, 0.000), Al at (0.000, 0.000, 0.500) and Os at (0.250, 0.250, 0.250).

Its crystal system is cubic. The total energy is -10.06 eV/atom. As for the energy of formation: -0.55 eV/atom. The value obtained for the energy relative to the lowest polymorph listed for this composition is 0.00 kJ/mol of atoms.